[1]
A plane-wave DFT calculation with PBE-GGA was carried out for an optimized crystal structure of YCdBi2.

a b c (Å): 8.466 8.466 6.889
angles (deg): 52.09 52.09 90.00
Atoms (fractional coordinates):
Bi  0.375  0.359  0.750
Y  0.250  0.750  0.500
Y  0.500  0.500  0.000
Cd  0.000  0.000  0.000
Bi  0.641  0.125  0.250
Bi  0.875  0.891  0.750
Bi  0.109  0.625  0.250
Cd  0.750  0.250  0.500

Summary:
The value obtained for the energy relative to the elements is -0.208 eV/atom. The raw total energy comes out at -3.993 eV per atom. Its crystal system is tetragonal.

[2]
A plane-wave DFT calculation with PBE-GGA was carried out for an optimized crystal structure of Dy3Tm6Cd.

a b c (Å): 6.139 10.838 10.838
angles (deg): 123.38 90.00 90.00
Atoms (fractional coordinates):
Dy  0.911  0.046  0.293
Dy  0.580  0.604  0.396
Tm  0.384  0.037  0.430
Tm  0.551  0.291  0.370
Cd  0.161  0.239  0.761
Tm  0.656  0.288  0.712
Tm  0.884  0.430  0.037
Tm  0.896  0.056  0.944
Tm  0.051  0.370  0.291
Dy  0.911  0.707  0.954
Dy  0.411  0.954  0.707
Dy  0.411  0.293  0.046
Cd  0.661  0.761  0.239
Tm  0.384  0.570  0.963
Tm  0.156  0.712  0.288
Dy  0.080  0.396  0.604
Tm  0.551  0.630  0.709
Tm  0.396  0.944  0.056
Tm  0.051  0.709  0.630
Tm  0.884  0.963  0.570

Summary:
The value obtained for the energy relative to the elements is 0.063 eV/atom. The raw total energy comes out at -4.092 eV per atom. Its crystal system is orthorhombic.

[3]
A plane-wave DFT calculation with PBE-GGA was carried out for an optimized crystal structure of MgBSb3.

a b c (Å): 4.903 4.903 4.903
angles (deg): 90.00 90.00 90.00
Atoms (fractional coordinates):
Sb  0.000  0.500  0.000
B  0.000  0.000  0.000
Sb  0.000  0.000  0.500
Mg  0.500  0.500  0.500
Sb  0.500  0.000  0.000

Summary:
The value obtained for the formation energy from raw total energies is 628 meV/atom. The raw total energy comes out at -3.500 eV per atom. Its crystal system is cubic.

[4]
A plane-wave DFT calculation with PBE-GGA was carried out for an optimized crystal structure of Ac6PmY5.

a b c (Å): 5.492 10.154 10.055
angles (deg): 120.32 105.89 90.01
Atoms (fractional coordinates):
Ac  0.833  0.084  0.666
Y  0.668  0.668  0.335
Ac  0.167  0.916  0.334
Pm  0.000  0.000  0.000
Y  0.666  0.167  0.333
Ac  0.167  0.418  0.334
Y  0.000  0.500  0.000
Ac  0.833  0.582  0.666
Ac  0.500  0.252  0.000
Ac  0.500  0.748  0.000
Y  0.332  0.332  0.665
Y  0.334  0.833  0.667

Summary:
The value obtained for the energy relative to the elements is 0.038 eV/atom. The raw total energy comes out at -5.105 eV per atom. Its crystal system is monoclinic.

[5]
A plane-wave DFT calculation with PBE-GGA was carried out for an optimized crystal structure of Hf4Cu3Os.

a b c (Å): 4.578 6.530 9.154
angles (deg): 90.00 90.00 90.00
Atoms (fractional coordinates):
Cu  0.502  0.000  0.750
Hf  0.500  0.749  0.500
Cu  0.498  0.500  0.250
Hf  0.500  0.251  0.500
Os  0.000  0.500  0.000
Hf  0.500  0.749  0.000
Cu  0.502  0.500  0.750
Hf  0.001  0.749  0.750
Cu  0.000  0.000  0.000
Hf  0.999  0.251  0.250
Cu  0.000  0.000  0.500
Hf  0.999  0.749  0.250
Hf  0.001  0.251  0.750
Hf  0.500  0.251  0.000
Cu  0.498  0.000  0.250
Os  0.000  0.500  0.500

Summary:
The value obtained for the energy relative to the elements is -0.276 eV/atom. The raw total energy comes out at -8.193 eV per atom. Its crystal system is orthorhombic.

[6]
A plane-wave DFT calculation with PBE-GGA was carried out for an optimized crystal structure of SmEuIr2.

a b c (Å): 4.954 4.954 4.954
angles (deg): 60.00 60.00 60.00
Atoms (fractional coordinates):
Sm  0.500  0.500  0.500
Eu  0.000  0.000  0.000
Ir  0.750  0.750  0.750
Ir  0.250  0.250  0.250

Summary:
The value obtained for the energy relative to the elements is -0.397 eV/atom. The raw total energy comes out at -8.576 eV per atom. Its crystal system is cubic.

[7]
A plane-wave DFT calculation with PBE-GGA was carried out for an optimized crystal structure of AcZn2InAu.

a b c (Å): 4.450 4.474 6.661
angles (deg): 109.62 109.52 90.00
Atoms (fractional coordinates):
In  0.188  0.688  0.376
Zn  0.057  0.057  0.114
Zn  0.690  0.190  0.380
Ac  0.442  0.442  0.884
Au  0.835  0.835  0.670

Summary:
The value obtained for the energy relative to the elements is -0.467 eV/atom. The raw total energy comes out at -3.002 eV per atom. Its crystal system is orthorhombic.

[8]
A plane-wave DFT calculation with PBE-GGA was carried out for an optimized crystal structure of NiHgSe2.

a b c (Å): 3.912 3.912 6.638
angles (deg): 86.63 86.63 59.20
Atoms (fractional coordinates):
Ni  0.786  0.786  0.780
Se  0.112  0.112  0.902
Se  0.140  0.140  0.288
Hg  0.462  0.462  0.530

Summary:
The value obtained for the formation energy from raw total energies is 38 meV/atom. The raw total energy comes out at -3.225 eV per atom. Its crystal system is monoclinic.

[9]
A plane-wave DFT calculation with PBE-GGA was carried out for an optimized crystal structure of Rb3Np2F9.

a b c (Å): 8.292 8.292 8.292
angles (deg): 89.72 89.72 89.72
Atoms (fractional coordinates):
Np  0.873  0.873  0.873
F  0.614  0.886  0.750
Rb  0.930  0.570  0.250
Np  0.127  0.127  0.127
F  0.583  0.459  0.228
F  0.728  0.959  0.083
F  0.886  0.750  0.614
F  0.772  0.417  0.541
F  0.917  0.272  0.041
F  0.041  0.917  0.272
F  0.541  0.772  0.417
Rb  0.430  0.750  0.070
F  0.083  0.728  0.959
F  0.228  0.583  0.459
Rb  0.250  0.930  0.570
Np  0.373  0.373  0.373
F  0.250  0.386  0.114
F  0.114  0.250  0.386
F  0.959  0.083  0.728
Rb  0.750  0.070  0.430
Rb  0.070  0.430  0.750
Rb  0.570  0.250  0.930
F  0.417  0.541  0.772
F  0.459  0.228  0.583
F  0.750  0.614  0.886
F  0.386  0.114  0.250
F  0.272  0.041  0.917
Np  0.627  0.627  0.627

Summary:
The value obtained for the formation energy from raw total energies is -3088 meV/atom. The raw total energy comes out at -6.347 eV per atom. Its crystal system is trigonal.

[10]
A plane-wave DFT calculation with PBE-GGA was carried out for an optimized crystal structure of YPN2F.

a b c (Å): 4.660 4.660 4.230
angles (deg): 90.00 90.00 90.00
Atoms (fractional coordinates):
Y  0.000  0.000  0.000
P  0.500  0.500  0.500
N  0.000  0.500  0.000
N  0.500  0.000  0.000
F  0.000  0.000  0.500

Summary:
The value obtained for the formation energy from raw total energies is 288 meV/atom. The raw total energy comes out at -5.791 eV per atom. Its crystal system is tetragonal.

[11]
A plane-wave DFT calculation with PBE-GGA was carried out for an optimized crystal structure of B5C.

a b c (Å): 5.718 5.718 5.724
angles (deg): 103.36 103.36 28.13
Atoms (fractional coordinates):
B  0.880  0.880  0.235
B  0.623  0.623  0.618
B  0.286  0.286  0.371
C  0.345  0.345  0.648
B  0.683  0.683  0.932
B  0.631  0.631  0.338
B  0.036  0.036  0.473
B  0.293  0.293  0.090
B  0.901  0.901  0.588
C  0.572  0.572  0.060
B  0.233  0.233  0.777
B  0.015  0.015  0.120

Summary:
The value obtained for the energy relative to the elements is 0.434 eV/atom. The raw total energy comes out at -6.668 eV per atom. Its crystal system is monoclinic.

[12]
A plane-wave DFT calculation with PBE-GGA was carried out for an optimized crystal structure of Mn3AlCo.

a b c (Å): 4.440 4.440 4.440
angles (deg): 90.00 90.00 90.00
Atoms (fractional coordinates):
Mn  0.000  0.000  0.500
Al  0.500  0.500  0.500
Mn  0.000  0.500  0.000
Co  0.000  0.000  0.000
Mn  0.500  0.000  0.000

Summary:
The value obtained for the energy relative to the elements is 0.810 eV/atom. The raw total energy comes out at -6.861 eV per atom. Its crystal system is cubic.

[13]
A plane-wave DFT calculation with PBE-GGA was carried out for an optimized crystal structure of SiHg2Pd2.

a b c (Å): 6.394 6.394 4.522
angles (deg): 90.00 90.00 90.00
Atoms (fractional coordinates):
Pd  0.840  0.660  0.000
Pd  0.340  0.840  0.000
Hg  0.840  0.340  0.500
Si  0.000  0.000  0.000
Pd  0.660  0.160  0.000
Hg  0.660  0.840  0.500
Pd  0.160  0.340  0.000
Hg  0.160  0.660  0.500
Si  0.500  0.500  0.000
Hg  0.340  0.160  0.500

Summary:
The value obtained for the formation energy from raw total energies is -122 meV/atom. The raw total energy comes out at -3.404 eV per atom. Its crystal system is tetragonal.

[14]
A plane-wave DFT calculation with PBE-GGA was carried out for an optimized crystal structure of K3TlTe2.

a b c (Å): 7.390 7.392 10.436
angles (deg): 110.74 110.74 90.00
Atoms (fractional coordinates):
K  0.500  0.750  0.000
Tl  0.000  0.250  0.000
Te  0.375  0.125  0.251
K  0.500  0.250  0.000
Te  0.625  0.875  0.749
K  0.948  0.180  0.360
K  0.412  0.680  0.360
Te  0.124  0.375  0.749
Tl  0.000  0.750  0.000
Te  0.876  0.625  0.251
K  0.052  0.820  0.640
K  0.588  0.320  0.640

Summary:
The value obtained for the formation energy from raw total energies is -816 meV/atom. The raw total energy comes out at -2.806 eV per atom. Its crystal system is orthorhombic.

[15]
A plane-wave DFT calculation with PBE-GGA was carried out for an optimized crystal structure of LiHoSc2Rh4.

a b c (Å): 4.535 4.535 7.929
angles (deg): 73.38 73.38 60.00
Atoms (fractional coordinates):
Sc  0.758  0.758  0.725
Rh  0.125  0.125  0.624
Rh  0.378  0.378  0.865
Li  0.500  0.500  0.500
Rh  0.875  0.875  0.376
Ho  0.000  0.000  0.000
Rh  0.622  0.622  0.135
Sc  0.242  0.242  0.275

Summary:
The value obtained for the energy relative to the elements is -0.791 eV/atom. The raw total energy comes out at -6.861 eV per atom. Its crystal system is trigonal.

[16]
A plane-wave DFT calculation with PBE-GGA was carried out for an optimized crystal structure of LaCdGa2Ag.

a b c (Å): 4.446 4.446 6.420
angles (deg): 110.26 110.26 90.00
Atoms (fractional coordinates):
Ga  0.390  0.390  0.781
La  0.000  0.000  0.000
Ga  0.610  0.610  0.219
Cd  0.250  0.750  0.500
Ag  0.750  0.250  0.500

Summary:
The value obtained for the energy relative to the elements is -0.439 eV/atom. The raw total energy comes out at -3.389 eV per atom. Its crystal system is tetragonal.

[17]
A plane-wave DFT calculation with PBE-GGA was carried out for an optimized crystal structure of Ca6HoTe8.

a b c (Å): 8.992 8.992 8.992
angles (deg): 60.00 60.00 60.00
Atoms (fractional coordinates):
Te  0.243  0.757  0.243
Te  0.243  0.757  0.757
Ca  0.000  0.500  0.000
Te  0.750  0.750  0.750
Te  0.757  0.243  0.757
Ca  0.000  0.500  0.500
Te  0.243  0.243  0.757
Te  0.250  0.250  0.250
Ca  0.000  0.000  0.500
Ca  0.500  0.000  0.500
Ca  0.500  0.500  0.000
Ca  0.500  0.000  0.000
Te  0.757  0.243  0.243
Te  0.757  0.757  0.243
Ho  0.000  0.000  0.000

Summary:
The value obtained for the formation energy from raw total energies is -1506 meV/atom. The raw total energy comes out at -4.287 eV per atom. Its crystal system is cubic.

[18]
A plane-wave DFT calculation with PBE-GGA was carried out for an optimized crystal structure of K2BaF8.

a b c (Å): 4.435 5.917 8.137
angles (deg): 109.84 104.95 94.62
Atoms (fractional coordinates):
F  0.681  0.906  0.304
F  0.380  0.596  0.691
F  0.319  0.094  0.696
F  0.250  0.169  0.291
F  0.996  0.668  0.998
K  0.809  0.304  0.629
K  0.191  0.696  0.371
Ba  0.500  0.000  0.000
F  0.620  0.404  0.309
F  0.750  0.831  0.709
F  0.004  0.332  0.002

Summary:
The value obtained for the formation energy from raw total energies is -2001 meV/atom. The raw total energy comes out at -3.736 eV per atom. Its crystal system is triclinic.

[19]
A plane-wave DFT calculation with PBE-GGA was carried out for an optimized crystal structure of MnOsBr2.

a b c (Å): 3.075 3.075 8.784
angles (deg): 90.00 90.00 89.97
Atoms (fractional coordinates):
Br  0.000  0.000  0.916
Mn  0.000  0.000  0.537
Br  0.500  0.500  0.339
Os  0.500  0.500  0.708

Summary:
The value obtained for the formation energy from raw total energies is 475 meV/atom. The raw total energy comes out at -5.461 eV per atom. Its crystal system is tetragonal.

[20]
A plane-wave DFT calculation with PBE-GGA was carried out for an optimized crystal structure of ZnSiBP2.

a b c (Å): 4.158 4.168 4.158
angles (deg): 90.00 90.00 90.00
Atoms (fractional coordinates):
P  0.500  0.000  0.000
B  0.000  0.000  0.000
Zn  0.500  0.500  0.500
P  0.000  0.000  0.500
Si  0.000  0.500  0.000

Summary:
The value obtained for the formation energy from raw total energies is 782 meV/atom. The raw total energy comes out at -4.056 eV per atom. Its crystal system is tetragonal.

[21]
A plane-wave DFT calculation with PBE-GGA was carried out for an optimized crystal structure of Ba2CeBeS5.

a b c (Å): 4.125 9.044 13.112
angles (deg): 90.00 90.00 103.18
Atoms (fractional coordinates):
S  0.340  0.680  0.018
S  0.695  0.391  0.167
Ba  0.883  0.766  0.192
Be  0.561  0.123  0.914
S  0.305  0.609  0.667
Ce  0.190  0.379  0.029
S  0.498  0.995  0.281
Ba  0.121  0.241  0.342
S  0.039  0.078  0.996
S  0.318  0.636  0.385
Be  0.439  0.877  0.414
S  0.961  0.922  0.496
Ce  0.810  0.621  0.529
S  0.502  0.005  0.781
S  0.660  0.320  0.518
Ba  0.117  0.234  0.692
S  0.682  0.364  0.885
Ba  0.879  0.759  0.842

Summary:
The value obtained for the formation energy from raw total energies is -1735 meV/atom. The raw total energy comes out at -5.529 eV per atom. Its crystal system is orthorhombic.

[22]
A plane-wave DFT calculation with PBE-GGA was carried out for an optimized crystal structure of Sr4TeCl.

a b c (Å): 7.316 7.316 7.316
angles (deg): 60.00 60.00 60.00
Atoms (fractional coordinates):
Sr  0.376  0.376  0.376
Te  0.750  0.750  0.750
Sr  0.376  0.376  0.873
Cl  0.000  0.000  0.000
Sr  0.873  0.376  0.376
Sr  0.376  0.873  0.376

Summary:
The value obtained for the formation energy from raw total energies is -233 meV/atom. The raw total energy comes out at -2.186 eV per atom. Its crystal system is cubic.

[23]
A plane-wave DFT calculation with PBE-GGA was carried out for an optimized crystal structure of Np2S2Cl.

a b c (Å): 3.909 3.909 8.804
angles (deg): 102.83 102.83 90.00
Atoms (fractional coordinates):
Np  0.838  0.838  0.675
Cl  0.000  0.000  0.000
Np  0.162  0.162  0.325
S  0.328  0.328  0.657
S  0.672  0.672  0.343

Summary:
The value obtained for the formation energy from raw total energies is -1440 meV/atom. The raw total energy comes out at -8.637 eV per atom. Its crystal system is tetragonal.